Entry 1:
# MgBeOs3 (PBE-GGA, optimized geometry)
data_MgBeOs3
_cell_length_a 4.160
_cell_length_b 4.160
_cell_length_c 4.160
_cell_angle_alpha 90.00
_cell_angle_beta 90.00
_cell_angle_gamma 90.00
_space_group_name_H-M_alt 'P 1'
_space_group_IT_number 1
loop_
_space_group_symop_operation_xyz
'x,y,z'
loop_
_atom_site_label
_atom_site_fract_x
_atom_site_fract_y
_atom_site_fract_z
Mg1 0.000 0.000 0.000
Be1 0.500 0.500 0.500
Os1 0.000 0.500 0.500
Os2 0.500 0.000 0.500
Os3 0.500 0.500 0.000
# * ΔE_f: 0.6980 eV/atom


Entry 2:
# MgBeOs2 (PBE-GGA, optimized geometry)
data_MgBeOs2
_cell_length_a 2.694
_cell_length_b 2.694
_cell_length_c 8.138
_cell_angle_alpha 90.00
_cell_angle_beta 90.00
_cell_angle_gamma 113.57
_space_group_name_H-M_alt 'P 1'
_space_group_IT_number 1
loop_
_space_group_symop_operation_xyz
'x,y,z'
loop_
_atom_site_label
_atom_site_fract_x
_atom_site_fract_y
_atom_site_fract_z
Mg1 0.000 0.000 0.000
Be1 0.000 0.000 0.500
Os1 0.500 0.500 0.278
Os2 0.500 0.500 0.722
# * ΔE_f: 0.1773 eV/atom


Entry 3:
# MgBeOs2 (PBE-GGA, optimized geometry)
data_MgBeOs2
_cell_length_a 9.040
_cell_length_b 9.040
_cell_length_c 9.040
_cell_angle_alpha 154.82
_cell_angle_beta 154.82
_cell_angle_gamma 35.91
_space_group_name_H-M_alt 'P 1'
_space_group_IT_number 1
loop_
_space_group_symop_operation_xyz
'x,y,z'
loop_
_atom_site_label
_atom_site_fract_x
_atom_site_fract_y
_atom_site_fract_z
Mg1 0.000 0.000 0.000
Mg2 0.750 0.250 0.500
Be1 0.250 0.750 0.500
Be2 0.500 0.500 0.000
Os1 0.216 0.125 0.591
Os2 0.375 0.784 0.909
Os3 0.534 0.625 0.409
Os4 0.875 0.466 0.091
# * ΔE_f: 0.6219 eV/atom


Entry 4:
# MgBe2Os (PBE-GGA, optimized geometry)
data_MgBe2Os
_cell_length_a 2.872
_cell_length_b 2.872
_cell_length_c 6.146
_cell_angle_alpha 90.00
_cell_angle_beta 90.00
_cell_angle_gamma 90.00
_space_group_name_H-M_alt 'P 1'
_space_group_IT_number 1
loop_
_space_group_symop_operation_xyz
'x,y,z'
loop_
_atom_site_label
_atom_site_fract_x
_atom_site_fract_y
_atom_site_fract_z
Mg1 0.000 0.000 0.000
Be1 0.000 0.000 0.511
Be2 0.500 0.500 0.688
Os1 0.500 0.500 0.316
# * ΔE_f: 0.1493 eV/atom


Entry 5:
# MgBeOs3 (PBE-GGA, optimized geometry)
data_MgBeOs3
_cell_length_a 4.438
_cell_length_b 4.438
_cell_length_c 4.438
_cell_angle_alpha 90.00
_cell_angle_beta 90.00
_cell_angle_gamma 90.00
_space_group_name_H-M_alt 'P 1'
_space_group_IT_number 1
loop_
_space_group_symop_operation_xyz
'x,y,z'
loop_
_atom_site_label
_atom_site_fract_x
_atom_site_fract_y
_atom_site_fract_z
Mg1 0.000 0.000 0.000
Be1 0.500 0.500 0.500
Os1 0.000 0.000 0.500
Os2 0.000 0.500 0.000
Os3 0.500 0.000 0.000
# * ΔE_f: 2.6087 eV/atom


Entry 6:
# MgBeOs2 (PBE-GGA, optimized geometry)
data_MgBeOs2
_cell_length_a 4.205
_cell_length_b 4.205
_cell_length_c 2.968
_cell_angle_alpha 90.00
_cell_angle_beta 90.00
_cell_angle_gamma 90.00
_space_group_name_H-M_alt 'P 1'
_space_group_IT_number 1
loop_
_space_group_symop_operation_xyz
'x,y,z'
loop_
_atom_site_label
_atom_site_fract_x
_atom_site_fract_y
_atom_site_fract_z
Mg1 0.000 0.000 0.000
Be1 0.500 0.500 0.000
Os1 0.000 0.500 0.500
Os2 0.500 0.000 0.500
# * ΔE_f: 0.4442 eV/atom


Entry 7:
# MgBe2Os (PBE-GGA, optimized geometry)
data_MgBe2Os
_cell_length_a 2.985
_cell_length_b 2.985
_cell_length_c 5.615
_cell_angle_alpha 90.00
_cell_angle_beta 90.00
_cell_angle_gamma 90.00
_space_group_name_H-M_alt 'P 1'
_space_group_IT_number 1
loop_
_space_group_symop_operation_xyz
'x,y,z'
loop_
_atom_site_label
_atom_site_fract_x
_atom_site_fract_y
_atom_site_fract_z
Mg1 0.000 0.000 0.000
Be1 0.500 0.500 0.309
Be2 0.500 0.500 0.691
Os1 0.000 0.000 0.500
# * ΔE_f: -0.0847 eV/atom


Entry 8:
# MgBeOs2 (PBE-GGA, optimized geometry)
data_MgBeOs2
_cell_length_a 4.787
_cell_length_b 4.787
_cell_length_c 4.787
_cell_angle_alpha 134.22
_cell_angle_beta 134.22
_cell_angle_gamma 66.75
_space_group_name_H-M_alt 'P 1'
_space_group_IT_number 1
loop_
_space_group_symop_operation_xyz
'x,y,z'
loop_
_atom_site_label
_atom_site_fract_x
_atom_site_fract_y
_atom_site_fract_z
Mg1 0.000 0.000 0.000
Be1 0.500 0.500 0.000
Os1 0.250 0.750 0.500
Os2 0.750 0.250 0.500
# * ΔE_f: 0.4041 eV/atom


Entry 9:
# MgBeOs (PBE-GGA, optimized geometry)
data_MgBeOs
_cell_length_a 4.198
_cell_length_b 4.198
_cell_length_c 2.645
_cell_angle_alpha 90.00
_cell_angle_beta 90.00
_cell_angle_gamma 120.00
_space_group_name_H-M_alt 'P 1'
_space_group_IT_number 1
loop_
_space_group_symop_operation_xyz
'x,y,z'
loop_
_atom_site_label
_atom_site_fract_x
_atom_site_fract_y
_atom_site_fract_z
Mg1 0.000 0.000 0.000
Be1 0.333 0.667 0.649
Os1 0.667 0.333 0.460
# * ΔE_f: 0.1611 eV/atom


Entry 10:
# MgBe2Os (PBE-GGA, optimized geometry)
data_MgBe2Os
_cell_length_a 3.404
_cell_length_b 4.739
_cell_length_c 4.739
_cell_angle_alpha 38.49
_cell_angle_beta 90.00
_cell_angle_gamma 90.00
_space_group_name_H-M_alt 'P 1'
_space_group_IT_number 1
loop_
_space_group_symop_operation_xyz
'x,y,z'
loop_
_atom_site_label
_atom_site_fract_x
_atom_site_fract_y
_atom_site_fract_z
Mg1 0.000 0.000 0.000
Be1 0.000 0.263 0.263
Be2 0.500 0.398 0.398
Os1 0.500 0.703 0.703
# * ΔE_f: 0.0172 eV/atom


Entry 11:
# MgBe2Os (PBE-GGA, optimized geometry)
data_MgBe2Os
_cell_length_a 8.460
_cell_length_b 8.460
_cell_length_c 8.460
_cell_angle_alpha 153.58
_cell_angle_beta 153.58
_cell_angle_gamma 37.71
_space_group_name_H-M_alt 'P 1'
_space_group_IT_number 1
loop_
_space_group_symop_operation_xyz
'x,y,z'
loop_
_atom_site_label
_atom_site_fract_x
_atom_site_fract_y
_atom_site_fract_z
Mg1 0.000 0.000 0.000
Mg2 0.750 0.250 0.500
Be1 0.272 0.625 0.147
Be2 0.375 0.522 0.647
Be3 0.478 0.125 0.853
Be4 0.875 0.728 0.353
Os1 0.250 0.750 0.500
Os2 0.500 0.500 0.000
# * ΔE_f: 0.5220 eV/atom


Entry 12:
# MgBeOs (PBE-GGA, optimized geometry)
data_MgBeOs
_cell_length_a 6.517
_cell_length_b 6.317
_cell_length_c 2.707
_cell_angle_alpha 82.01
_cell_angle_beta 73.71
_cell_angle_gamma 24.29
_space_group_name_H-M_alt 'P 1'
_space_group_IT_number 1
loop_
_space_group_symop_operation_xyz
'x,y,z'
loop_
_atom_site_label
_atom_site_fract_x
_atom_site_fract_y
_atom_site_fract_z
Mg1 0.000 0.000 0.000
Be1 0.678 0.678 0.322
Os1 0.315 0.315 0.685
# * ΔE_f: 0.2780 eV/atom